(1)
{
  "formula": "TiCr2Br",
  "functional": "GGA-PBE",
  "state": "relaxed",
  "lattice_angstrom": [[-2.670, 6.777, -0.582], [-6.529, -2.729, -1.822], [-5.314, 1.969, 1.442]],
  "species": ["Cr", "Cr", "Cr", "Ti", "Br", "Br", "Cr", "Ti"],
  "frac_coords": [[0.649, 0.125, 0.250], [0.375, 0.351, 0.750], [0.875, 0.899, 0.750], [0.250, 0.750, 0.500], [0.000, 0.000, 0.000], [0.750, 0.250, 0.500], [0.101, 0.625, 0.250], [0.500, 0.500, 0.000]],
  "dos_at_fermi_per_ev_fu": 2.2,
  "formation_energy_uncorrected_ev_per_atom": 0.835,
  "spacegroup": "I-42d",
  "de_polymorph_ev_per_fu": 0.00,
  "energy_ev_per_cell": -50.95
}



(2)
{
  "formula": "AlHI5",
  "functional": "GGA-PBE",
  "state": "relaxed",
  "lattice_angstrom": [[-7.948, 5.856, 6.649], [-2.992, -7.593, 3.111], [9.392, 0.661, 10.645]],
  "species": ["I", "H", "I", "I", "H", "Al", "H", "Al", "H", "I", "I", "I", "I", "Al", "I", "I", "Al", "I", "I", "I", "I", "I", "I", "I", "I", "I", "I", "I"],
  "frac_coords": [[0.250, 0.646, 0.298], [0.750, 0.412, 0.814], [0.250, 0.584, 0.011], [0.073, 0.305, 0.411], [0.750, 0.088, 0.314], [0.750, 0.856, 0.604], [0.250, 0.912, 0.686], [0.250, 0.144, 0.396], [0.250, 0.588, 0.186], [0.073, 0.195, 0.911], [0.750, 0.354, 0.702], [0.573, 0.695, 0.589], [0.750, 0.979, 0.772], [0.750, 0.644, 0.104], [0.250, 0.021, 0.228], [0.927, 0.805, 0.089], [0.250, 0.356, 0.896], [0.750, 0.521, 0.272], [0.427, 0.305, 0.411], [0.427, 0.195, 0.911], [0.250, 0.479, 0.728], [0.250, 0.916, 0.511], [0.927, 0.695, 0.589], [0.250, 0.854, 0.798], [0.750, 0.146, 0.202], [0.573, 0.805, 0.089], [0.750, 0.084, 0.489], [0.750, 0.416, 0.989]],
  "dos_at_fermi_per_ev_fu": 2.9,
  "spacegroup": "Pnma",
  "energy_ev_per_cell": -67.14
}



(3)
{
  "formula": "NaTlCdAg",
  "functional": "GGA-PBE",
  "state": "relaxed",
  "lattice_angstrom": [[-4.915, 0.555, 1.159], [-1.976, -2.506, 3.953], [-1.351, 2.530, 4.193]],
  "species": ["Ag", "Na", "Cd", "Tl"],
  "frac_coords": [[0.750, 0.750, 0.750], [0.250, 0.250, 0.250], [0.000, 0.000, 0.000], [0.500, 0.500, 0.500]],
  "dos_at_fermi_per_ev_fu": 1.2,
  "spacegroup": "F-43m",
  "energy_ev_per_cell": -7.62,
  "formation_enthalpy_0k_ev_per_fu": -0.17
}



(4)
{
  "formula": "NpIn2Ag",
  "functional": "GGA-PBE",
  "state": "relaxed",
  "lattice_angstrom": [[3.231, 0.000, 0.000], [0.000, 3.231, 0.000], [0.000, 0.000, 8.691]],
  "species": ["In", "In", "Ag", "Np"],
  "frac_coords": [[0.000, 0.000, 0.224], [0.000, 0.000, 0.776], [0.500, 0.500, 0.000], [0.500, 0.500, 0.500]],
  "dos_at_fermi_per_ev_fu": 5.5,
  "spacegroup": "P4/mmm",
  "energy_ev_per_cell": -21.03,
  "formation_enthalpy_0k_ev_per_fu": 0.24
}



(5)
{
  "formula": "Li5Cd3Ga3",
  "functional": "GGA-PBE",
  "state": "relaxed",
  "lattice_angstrom": [[-1.018, -2.480, -1.144], [8.027, -4.345, 2.279], [-7.170, 0.133, 6.090]],
  "species": ["Li", "Cd", "Li", "Ga", "Ga", "Li", "Li", "Cd", "Li", "Ga", "Cd"],
  "frac_coords": [[0.500, 0.671, 0.671], [0.000, 0.000, 0.584], [0.500, 0.333, 0.667], [0.500, 0.000, 0.840], [0.500, 0.840, 0.000], [0.500, 0.667, 0.333], [0.500, 0.329, 0.000], [0.000, 0.584, 0.000], [0.500, 0.000, 0.329], [0.500, 0.160, 0.160], [0.000, 0.416, 0.416]],
  "dos_at_fermi_per_ev_fu": 2.7,
  "spacegroup": "P-62m",
  "energy_ev_per_cell": -22.52,
  "formation_enthalpy_0k_ev_per_fu": -1.13
}



(6)
{
  "formula": "Y2TlPt",
  "functional": "GGA-PBE",
  "state": "relaxed",
  "lattice_angstrom": [[-1.133, 0.434, 5.016], [-4.632, -1.471, 1.736], [-0.436, -4.231, 2.922]],
  "species": ["Y", "Y", "Pt", "Tl"],
  "frac_coords": [[0.750, 0.750, 0.750], [0.250, 0.250, 0.250], [0.000, 0.000, 0.000], [0.500, 0.500, 0.500]],
  "dos_at_fermi_per_ev_fu": 3.3,
  "spacegroup": "Fm-3m",
  "de_polymorph_ev_per_fu": 0.35,
  "energy_ev_per_cell": -24.17,
  "formation_enthalpy_0k_ev_per_fu": -2.84
}



(7)
{
  "formula": "RhPbW3",
  "functional": "GGA-PBE",
  "state": "relaxed",
  "lattice_angstrom": [[-1.591, -4.159, -1.723], [-0.932, -1.483, 4.441], [-4.404, 1.816, -0.318]],
  "species": ["W", "W", "Pb", "W", "Rh"],
  "frac_coords": [[0.500, 0.000, 0.000], [0.000, 0.000, 0.500], [0.500, 0.500, 0.500], [0.000, 0.500, 0.000], [0.000, 0.000, 0.000]],
  "dos_at_fermi_per_ev_fu": 6.5,
  "spacegroup": "Pm-3m",
  "de_polymorph_ev_per_fu": 0.00,
  "energy_ev_per_cell": -40.43,
  "formation_enthalpy_0k_ev_per_fu": 9.49
}



(8)
{
  "formula": "VGeRh3",
  "functional": "GGA-PBE",
  "state": "relaxed",
  "lattice_angstrom": [[-3.502, 0.614, -2.744], [-1.519, -4.102, 1.020], [-2.367, 1.723, 3.407]],
  "species": ["Rh", "Rh", "Ge", "V", "Rh"],
  "frac_coords": [[0.000, 0.000, 0.500], [0.500, 0.000, 0.000], [0.000, 0.000, 0.000], [0.500, 0.500, 0.500], [0.000, 0.500, 0.000]],
  "dos_at_fermi_per_ev_fu": 8.5,
  "spacegroup": "Pm-3m",
  "de_polymorph_ev_per_fu": 4.75,
  "energy_ev_per_cell": -32.85,
  "formation_enthalpy_0k_ev_per_fu": 2.94
}



(9)
{
  "formula": "NbFeIrPt",
  "functional": "GGA-PBE",
  "state": "relaxed",
  "lattice_angstrom": [[3.930, 0.000, 0.000], [0.000, 3.930, 0.000], [-1.965, -1.965, 3.878]],
  "species": ["Pt", "Fe", "Ir", "Nb"],
  "frac_coords": [[0.000, 0.000, 0.000], [0.250, 0.750, 0.500], [0.500, 0.500, 0.000], [0.750, 0.250, 0.500]],
  "dos_at_fermi_per_ev_fu": 2.9,
  "spacegroup": "I-4m2",
  "energy_ev_per_cell": -35.31,
  "formation_enthalpy_0k_ev_per_fu": -1.87
}



(10)
{
  "formula": "BiTePt",
  "functional": "GGA-PBE",
  "state": "relaxed",
  "lattice_angstrom": [[5.785, 0.000, 0.000], [0.000, 8.348, 0.904], [0.000, -2.806, 6.379]],
  "species": ["Pt", "Te", "Te", "Bi", "Bi", "Bi", "Bi", "Te", "Te", "Pt", "Pt", "Pt"],
  "frac_coords": [[0.250, 0.079, 0.819], [0.750, 0.733, 0.430], [0.250, 0.267, 0.570], [0.750, 0.601, 0.903], [0.250, 0.899, 0.097], [0.250, 0.399, 0.097], [0.750, 0.101, 0.903], [0.250, 0.767, 0.570], [0.750, 0.233, 0.430], [0.250, 0.579, 0.819], [0.750, 0.421, 0.181], [0.750, 0.921, 0.181]],
  "dos_at_fermi_per_ev_fu": 1.2,
  "formation_energy_uncorrected_ev_per_atom": -0.295,
  "spacegroup": "P2_1/m",
  "de_polymorph_ev_per_fu": 0.16,
  "energy_ev_per_cell": -55.79
}



(11)
{
  "formula": "Y4Er5Tl",
  "functional": "GGA-PBE",
  "state": "relaxed",
  "lattice_angstrom": [[5.774, 0.000, 0.000], [2.887, 7.477, 0.000], [2.887, 0.000, 7.477]],
  "species": ["Y", "Er", "Er", "Y", "Er", "Er", "Tl", "Y", "Y", "Er"],
  "frac_coords": [[0.460, 0.316, 0.684], [0.770, 0.370, 0.000], [0.665, 0.000, 0.000], [0.776, 0.684, 0.684], [0.140, 0.000, 0.630], [0.140, 0.630, 0.000], [0.184, 0.000, 0.000], [0.460, 0.684, 0.316], [0.144, 0.316, 0.316], [0.770, 0.000, 0.370]],
  "dos_at_fermi_per_ev_fu": 14.3,
  "spacegroup": "I4mm",
  "energy_ev_per_cell": -49.80,
  "formation_enthalpy_0k_ev_per_fu": 1.23
}



(12)
{
  "formula": "SrS2NO",
  "functional": "GGA-PBE",
  "state": "relaxed",
  "lattice_angstrom": [[-3.479, -2.415, -0.548], [2.085, -2.347, -2.894], [1.412, -2.776, 3.269]],
  "species": ["S", "O", "N", "Sr", "S"],
  "frac_coords": [[0.500, 0.000, 0.000], [0.000, 0.000, 0.000], [0.000, 0.000, 0.500], [0.500, 0.500, 0.500], [0.000, 0.500, 0.000]],
  "dos_at_fermi_per_ev_fu": 2.4,
  "formation_energy_uncorrected_ev_per_atom": 0.442,
  "spacegroup": "P4/mmm",
  "de_polymorph_ev_per_fu": 1.99,
  "energy_ev_per_cell": -21.01
}